--- i ---
Crystalline BWN2F at its relaxed geometry. Source: the Alexandria database, functional PBE+U.

Cell: 3.653 3.653 3.126 Å, 90.00 90.00 90.00°
Positions (direct):
B  0.000  0.000  0.000
W  0.500  0.500  0.500
N  0.000  0.500  0.000
N  0.500  0.000  0.000
F  0.000  0.000  0.500

N(E_F): 0.0 states/eV/cell

--- ii ---
Crystalline BWN2F at its relaxed geometry. Source: the Alexandria database, functional PBE+U.

Cell: 3.978 3.978 4.104 Å, 90.00 90.00 90.00°
Positions (direct):
B  0.000  0.000  0.000
W  0.500  0.500  0.500
N  0.000  0.500  0.500
N  0.500  0.000  0.500
F  0.500  0.500  0.000

N(E_F): 1.3 states/eV/cell

The structure with the most favorable energy is i; the runner-up is 41.0 kJ/mol of atoms above it.